(1)
# PmPr2Zn PBE optimized geometry
data_PmPr2Zn
_chemical_formula_sum 'Pm4 Pr8 Zn4'
_symmetry_space_group_name_H-M 'I 4/m m m'
_symmetry_Int_Tables_number 139
_symmetry_space_group_name_Hall '-I 4 2'
_cell_length_a 5.2385
_cell_length_b 5.2385
_cell_length_c 17.7200
_cell_angle_alpha 90.00
_cell_angle_beta 90.00
_cell_angle_gamma 90.00
loop_
_atom_site_label
_atom_site_fract_x
_atom_site_fract_y
_atom_site_fract_z
Pm1 0.0000 0.0000 0.1487
Pr1 0.0000 0.0000 0.3539
Pr2 0.0000 0.5000 0.0000
Zn1 0.0000 0.5000 0.2500
# - ΔE_f: -149 meV per atom
# - Final energy: -4.045 eV per atom
# - Total magnetic moment: 0.000 μB/f.u.
# - Theoretical density: 6.7 g/cm³

(2)
# Ba2Tl5Bi3 PBE optimized geometry
data_Ba2Tl5Bi3
_chemical_formula_sum 'Ba2 Tl5 Bi3'
_symmetry_space_group_name_H-M 'P -4 m 2'
_symmetry_Int_Tables_number 115
_symmetry_space_group_name_Hall 'P -4 -2'
_cell_length_a 5.0614
_cell_length_b 5.0614
_cell_length_c 14.4270
_cell_angle_alpha 90.00
_cell_angle_beta 90.00
_cell_angle_gamma 90.00
loop_
_atom_site_label
_atom_site_fract_x
_atom_site_fract_y
_atom_site_fract_z
Ba1 0.0000 0.5000 0.2401
Tl1 0.0000 0.0000 0.0000
Tl2 0.0000 0.0000 0.5000
Tl3 0.0000 0.5000 0.8690
Tl4 0.5000 0.5000 0.0000
Bi1 0.0000 0.5000 0.6571
Bi2 0.5000 0.5000 0.5000
# - ΔE_f: -271 meV per atom
# - Final energy: -3.003 eV per atom
# - Total magnetic moment: 0.000 μB/f.u.
# - Theoretical density: 8.6 g/cm³

(3)
# CeEuPuTl PBE optimized geometry
data_CeEuPuTl
_chemical_formula_sum 'Ce4 Eu4 Pu4 Tl4'
_symmetry_space_group_name_H-M 'F -4 3 m'
_symmetry_Int_Tables_number 216
_symmetry_space_group_name_Hall 'F -4 2 3'
_cell_length_a 7.7010
_cell_length_b 7.7010
_cell_length_c 7.7010
_cell_angle_alpha 90.00
_cell_angle_beta 90.00
_cell_angle_gamma 90.00
loop_
_atom_site_label
_atom_site_fract_x
_atom_site_fract_y
_atom_site_fract_z
Ce1 0.0000 0.0000 0.0000
Eu1 0.2500 0.2500 0.2500
Pu1 0.2500 0.2500 0.7500
Tl1 0.0000 0.0000 0.5000
# - ΔE_f: 98 meV per atom
# - Final energy: -8.129 eV per atom
# - Total magnetic moment: 1.535 μB/f.u.
# - Theoretical density: 10.8 g/cm³